A geometry-optimized Li2TiNiAu structure, computed with GGA-PBEsol.

```
data_Li2TiNiAu
_symmetry_space_group_name_H-M 'P 1'
_symmetry_Int_Tables_number 1
_cell_length_a 4.2992
_cell_length_b 4.2992
_cell_length_c 4.8354
_cell_angle_alpha 90.00
_cell_angle_beta 90.00
_cell_angle_gamma 90.00
loop_
_symmetry_equiv_pos_as_xyz
'x,y,z'
loop_
_atom_site_label
_atom_site_type_symbol
_atom_site_fract_x
_atom_site_fract_y
_atom_site_fract_z
Ni1 Ni 0.0000 0.0000 0.5000
Li1 Li 0.0000 0.5000 0.0000
Li2 Li 0.5000 0.0000 0.0000
Au1 Au 0.0000 0.0000 0.0000
Ti1 Ti 0.5000 0.5000 0.5000
```

Values from the calculation:
Its spin magnetization is 1.729 Bohr magnetons per cell. The volume is 89.37 Å³/cell. For the total DFT energy (no corrections), the calculation gives -3.8566 eV per atom. The symmetry is No. 123.